First-principles (PBE) data for crystalline Pm4Nd3TmS8 at its relaxed geometry, as listed in Alexandria via LeMat-Bulk.

Cell lengths 8.0581, 8.0581, 19.6972 Å; angles 90.00, 90.00, 120.00 degrees
Closest atoms and distances in Å follow each position.
Space group R-3m (No. 166, hexagonal axes)
Symmetry-distinct sites (fractional):
1 Pm 0.0000 0.0000 0.0000 (multiplicity 3)  6 S 2.93
2 Pm 0.0000 0.5000 0.0000 (multiplicity 9)  6 S 2.83-2.84
3 Nd 0.0000 0.5000 0.5000 (multiplicity 9)  6 S 2.86
4 Tm 0.0000 0.0000 0.5000 (multiplicity 3)  6 S 2.76
5 S 0.0000 0.0000 0.2511 (multiplicity 6)  3 Pm 2.83, 3 Nd 2.86
6 S 0.0112 0.5056 0.2483 (multiplicity 18)  1 Tm 2.76, 3 Pm 2.84-2.93, 2 Nd 2.86

## Properties
**Volume**: 23.1 Å³/atom
**Uncorrected formation energy**: -46.33 kcal/mol of atoms

First-principles (PBE) data for crystalline SrTmAlHg at its relaxed geometry, as listed in Alexandria via LeMat-Bulk.

Cell lengths 7.5972, 7.5972, 7.5972 Å; angles 90.00, 90.00, 90.00 degrees
Closest atoms and distances in Å follow each position.
Space group F-43m (No. 216)
Symmetry-distinct sites (fractional):
1 Sr 0.0000 0.0000 0.0000 (multiplicity 4)  4 Hg 3.29, 4 Al 3.29
2 Tm 0.0000 0.0000 0.5000 (multiplicity 4)  4 Hg 3.29, 4 Al 3.29
3 Al 0.2500 0.2500 0.7500 (multiplicity 4)  4 Tm 3.29, 4 Sr 3.29
4 Hg 0.2500 0.2500 0.2500 (multiplicity 4)  4 Tm 3.29, 4 Sr 3.29

## Properties
**Volume**: 27.4 Å³/atom
**Calculated formation energy**: -1.1 eV per formula unit

First-principles (PBE) data for crystalline Mn2AlRe at its relaxed geometry, as listed in Alexandria via LeMat-Bulk.

Cell lengths 3.1257, 4.2433, 7.9874 Å; angles 90.00, 90.00, 90.00 degrees
Closest atoms and distances in Å follow each position.
Space group Cmm2 (No. 35)
Symmetry-distinct sites (fractional):
1 Mn 0.0000 0.0000 0.0000 (multiplicity 2)  6 Mn 2.42-2.64, 2 Al 2.51
2 Mn 0.0000 0.5000 0.2320 (multiplicity 2)  6 Mn 2.42-2.64, 2 Re 2.54
3 Al 0.0000 0.5000 0.7545 (multiplicity 2)  2 Mn 2.51, 4 Al 2.64, 2 Re 2.68
4 Re 0.0000 0.0000 0.4821 (multiplicity 2)  2 Mn 2.54, 4 Re 2.64, 2 Al 2.68

## Properties
**Volume**: 13.2 Å³/atom
**Calculated formation energy**: 0.3 eV per formula unit

First-principles (PBE) data for crystalline NdHo3In at its relaxed geometry, as listed in Alexandria via LeMat-Bulk.

Cell lengths 16.7100, 5.2080, 6.9380 Å; angles 90.00, 91.56, 90.00 degrees
Closest atoms and distances in Å follow each position.
Space group C2/m (No. 12)
Symmetry-distinct sites (fractional):
1 Nd 0.1075 0.0000 0.4889 (multiplicity 4)  9 Ho 3.41-3.66, 3 In 3.52-3.74, 1 Nd 3.60
2 Ho 0.0038 0.5000 0.7551 (multiplicity 4)  1 In 3.22, 5 Ho 3.40-3.55, 2 Nd 3.60
3 Ho 0.1105 0.0000 0.9979 (multiplicity 4)  2 Nd 3.41-3.53, 3 In 3.42-3.59, 8 Ho 3.49-3.70
4 Ho 0.2049 0.5000 0.2511 (multiplicity 4)  3 In 3.08-3.41
5 In 0.1968 0.5000 0.7595 (multiplicity 4)  6 Ho 3.08-3.42

## Properties
**Volume**: 30.2 Å³/atom
**E above lowest polymorph**: 0 meV/atom
**Calculated formation energy**: -0.9 eV per formula unit

First-principles (PBE) data for crystalline Ac2TmLu at its relaxed geometry, as listed in Alexandria via LeMat-Bulk.

Cell lengths 3.8997, 3.8997, 9.6455 Å; angles 90.00, 90.00, 90.00 degrees
Closest atoms and distances in Å follow each position.
Space group P4/mmm (No. 123)
Symmetry-distinct sites (fractional):
1 Ac 0.0000 0.0000 0.2485 (multiplicity 2)  4 Lu 3.65, 4 Tm 3.67, 4 Ac 3.90
2 Tm 0.5000 0.5000 0.5000 (multiplicity 1)  8 Ac 3.67, 4 Tm 3.90
3 Lu 0.5000 0.5000 0.0000 (multiplicity 1)  8 Ac 3.65, 4 Lu 3.90

## Properties
**Volume**: 36.7 Å³/atom
**E above lowest polymorph**: 0 meV/atom
**Calculated formation energy**: 0.2 eV per formula unit

First-principles (PBE) data for crystalline TiBe2PbF at its relaxed geometry, as listed in Alexandria via LeMat-Bulk.

Cell lengths 4.5815, 4.5815, 4.5556 Å; angles 90.00, 90.00, 90.00 degrees
Closest atoms and distances in Å follow each position.
Space group P4/mmm (No. 123)
Symmetry-distinct sites (fractional):
1 Ti 0.0000 0.0000 0.0000 (multiplicity 1)  8 Be 3.23, 4 F 3.24
2 Be 0.0000 0.5000 0.5000 (multiplicity 2)  2 Pb 2.29
3 Pb 0.5000 0.5000 0.5000 (multiplicity 1)  2 F 2.28, 4 Be 2.29
4 F 0.5000 0.5000 0.0000 (multiplicity 1)  2 Pb 2.28

## Properties
**Volume**: 19.1 Å³/atom
**Uncorrected formation energy**: 16.43 kcal/mol of atoms

First-principles (PBE) data for crystalline BaSnP2 at its relaxed geometry, as listed in Alexandria via LeMat-Bulk.

Cell lengths 7.5006, 7.5006, 8.4894 Å; angles 90.00, 90.00, 90.00 degrees
Closest atoms and distances in Å follow each position.
Space group I-42d (No. 122)
Symmetry-distinct sites (fractional):
1 Ba 0.0000 0.0000 0.0000 (multiplicity 4)  4 P 3.24
2 Sn 0.0000 0.0000 0.5000 (multiplicity 4)  4 P 2.53
3 P 0.1768 0.2500 0.6250 (multiplicity 8)  2 Sn 2.53

## Properties
**Volume**: 29.9 Å³/atom
**Calculated formation energy**: -2.1 eV per formula unit

First-principles (PBE) data for crystalline Nd4OsRhBr2 at its relaxed geometry, as listed in Alexandria via LeMat-Bulk.

Cell lengths 7.1360, 4.1220, 8.2012 Å; angles 90.00, 106.77, 90.00 degrees
Closest atoms and distances in Å follow each position.
Space group P2/m (No. 10)
Symmetry-distinct sites (fractional):
1 Nd 0.2279 0.0000 0.1983 (multiplicity 2)  2 Os 2.83, 1 Rh 2.87
2 Nd 0.2627 0.5000 0.8043 (multiplicity 2)  1 Os 2.80, 2 Rh 2.85
3 Os 0.0000 0.5000 0.0000 (multiplicity 1)  6 Nd 2.80-2.83
4 Rh 0.5000 0.0000 0.0000 (multiplicity 1)  6 Nd 2.85-2.87
5 Br 0.0000 0.0000 0.5000 (multiplicity 1)  6 Nd 3.33-3.36
6 Br 0.5000 0.5000 0.5000 (multiplicity 1)  6 Nd 3.37-3.40

## Properties
**Volume**: 28.9 Å³/atom
**Uncorrected formation energy**: -20.02 kcal/mol of atoms

First-principles (PBE) data for crystalline PrZnH at its relaxed geometry, as listed in Alexandria via LeMat-Bulk.

Cell lengths 4.3384, 14.7611, 7.0516 Å; angles 90.00, 90.00, 90.00 degrees
Closest atoms and distances in Å follow each position.
Space group Cmce (No. 64)
Symmetry-distinct sites (fractional):
1 Pr 0.0000 0.1483 0.0330 (multiplicity 8)  4 H 2.42-2.53
2 Zn 0.0000 0.0191 0.6688 (multiplicity 8)  3 Zn 2.45
3 H 0.0000 0.2051 0.3717 (multiplicity 8)  4 Pr 2.42-2.53

## Properties
**Volume**: 18.8 Å³/atom
**E above lowest polymorph**: 0 meV/atom

First-principles (PBE) data for crystalline BaSr5Ca at its relaxed geometry, as listed in Alexandria via LeMat-Bulk.

Cell lengths 7.8984, 29.9793, 7.7144 Å; angles 90.00, 120.40, 90.00 degrees
Closest atoms and distances in Å follow each position.
Space group C2/c (No. 15)
Symmetry-distinct sites (fractional):
1 Ba 0.0000 0.0859 0.2500 (multiplicity 4)  2 Ca 4.40, 12 Sr 4.43-4.93
2 Sr 0.0000 0.3436 0.7500 (multiplicity 4)  2 Ca 3.86, 6 Sr 3.97-4.17
3 Sr 0.0109 0.2203 0.5066 (multiplicity 8)  7 Sr 3.84-4.27, 2 Ca 3.86-4.20
4 Sr 0.2022 0.4536 0.1088 (multiplicity 8)  3 Sr 3.92-4.08, 1 Ca 4.02
5 Ca 0.0000 0.3446 0.2500 (multiplicity 4)  8 Sr 3.86-4.20

## Properties
**Volume**: 56.3 Å³/atom
**Calculated formation energy**: 0.8 eV per formula unit

First-principles (PBE) data for crystalline ZrWBr2 at its relaxed geometry, as listed in Alexandria via LeMat-Bulk.

Cell lengths 3.0499, 5.9216, 9.2857 Å; angles 90.00, 90.00, 90.00 degrees
Closest atoms and distances in Å follow each position.
Space group Cmmm (No. 65)
Symmetry-distinct sites (fractional):
1 Zr 0.0000 0.0000 0.0000 (multiplicity 2)  4 Br 2.86, 2 Zr 3.05
2 W 0.0000 0.0000 0.5000 (multiplicity 2)  4 Br 2.69
3 Br 0.0000 0.5000 0.2607 (multiplicity 4)  2 W 2.69, 2 Zr 2.86

## Properties
**Volume**: 21.0 Å³/atom
**E above lowest polymorph**: 711 meV/atom
**Uncorrected formation energy**: 14.82 kcal/mol of atoms

First-principles (PBE) data for crystalline ThCo2B4 at its relaxed geometry, as listed in Alexandria via LeMat-Bulk.

Cell lengths 3.1193, 3.2734, 14.5164 Å; angles 90.00, 90.00, 90.00 degrees
Closest atoms and distances in Å follow each position.
Space group Immm (No. 71)
Symmetry-distinct sites (fractional):
1 Th 0.0000 0.0000 0.0000 (multiplicity 2)  12 B 2.82-2.88, 2 Th 3.12
2 Co 0.0000 0.5000 0.3027 (multiplicity 4)  3 B 2.02-2.03
3 B 0.0000 0.0000 0.3842 (multiplicity 4)  2 B 1.70
4 B 0.0000 0.5000 0.1631 (multiplicity 4)  2 B 1.70

## Properties
**Volume**: 10.6 Å³/atom
**Calculated formation energy**: -2.1 eV per formula unit

no.,total magnetization (μB/f.u.)
1,0.00
2,0.00
3,3.43
4,0.00
5,0.00
6,0.00
7,0.00
8,0.00
9,0.00
10,0.00
11,0.94
12,0.00